DySbO3: relaxed, GGA-PBEsol.

Structure (CIF):
```
data_DySbO3
_space_group_name_H-M_alt 'P m -3 m'
_space_group_IT_number 221
_space_group_name_Hall '-P 4 2 3'
_cell_length_a 4.193
_cell_length_b 4.193
_cell_length_c 4.193
_cell_angle_alpha 90.00
_cell_angle_beta 90.00
_cell_angle_gamma 90.00
loop_
_atom_site_label
_atom_site_fract_x
_atom_site_fract_y
_atom_site_fract_z
Dy1 0.000 0.000 0.000
Sb1 0.500 0.500 0.500
O1 0.000 0.500 0.500
```

Summary:
formation energy from raw total energies: -1498 meV per atom

***

Na2SiRu: relaxed, GGA-PBEsol.

Structure (CIF):
```
data_Na2SiRu
_space_group_name_H-M_alt 'I -4 2 d'
_space_group_IT_number 122
_space_group_name_Hall 'I -4 2bw'
_cell_length_a 7.875
_cell_length_b 7.875
_cell_length_c 4.762
_cell_angle_alpha 90.00
_cell_angle_beta 90.00
_cell_angle_gamma 90.00
loop_
_atom_site_label
_atom_site_fract_x
_atom_site_fract_y
_atom_site_fract_z
Na1 0.249 0.250 0.125
Si1 0.000 0.000 0.000
Ru1 0.000 0.000 0.500
```

Summary:
formation energy from raw total energies: 694 meV per atom

***

CaSmAg2: relaxed, GGA-PBEsol.

Structure (CIF):
```
data_CaSmAg2
_space_group_name_H-M_alt 'F m -3 m'
_space_group_IT_number 225
_space_group_name_Hall '-F 4 2 3'
_cell_length_a 7.240
_cell_length_b 7.240
_cell_length_c 7.240
_cell_angle_alpha 90.00
_cell_angle_beta 90.00
_cell_angle_gamma 90.00
loop_
_atom_site_label
_atom_site_fract_x
_atom_site_fract_y
_atom_site_fract_z
Ca1 0.000 0.000 0.000
Sm1 0.000 0.000 0.500
Ag1 0.250 0.250 0.250
```

Summary:
energy of formation from the pure elements: -286 meV per atom

***

La4TeRu: relaxed, GGA-PBEsol.

Structure (CIF):
```
data_La4TeRu
_space_group_name_H-M_alt 'F -4 3 m'
_space_group_IT_number 216
_space_group_name_Hall 'F -4 2 3'
_cell_length_a 8.666
_cell_length_b 8.666
_cell_length_c 8.666
_cell_angle_alpha 90.00
_cell_angle_beta 90.00
_cell_angle_gamma 90.00
loop_
_atom_site_label
_atom_site_fract_x
_atom_site_fract_y
_atom_site_fract_z
La1 0.125 0.125 0.125
Te1 0.250 0.250 0.750
Ru1 0.000 0.000 0.500
```

Summary:
formation energy from raw total energies: 385 meV per atom

***

CaMgTe2I: relaxed, GGA-PBEsol.

Structure (CIF):
```
data_CaMgTe2I
_space_group_name_H-M_alt 'P 4/m m m'
_space_group_IT_number 123
_space_group_name_Hall '-P 4 2'
_cell_length_a 5.415
_cell_length_b 5.415
_cell_length_c 5.693
_cell_angle_alpha 90.00
_cell_angle_beta 90.00
_cell_angle_gamma 90.00
loop_
_atom_site_label
_atom_site_fract_x
_atom_site_fract_y
_atom_site_fract_z
Ca1 0.000 0.000 0.000
Mg1 0.500 0.500 0.500
Te1 0.000 0.500 0.500
I1 0.500 0.500 0.000
```

Summary:
formation energy from raw total energies: -612 meV per atom

***

MgGa: relaxed, GGA-PBEsol.

Structure (CIF):
```
data_MgGa
_space_group_name_H-M_alt 'P m -3 m'
_space_group_IT_number 221
_space_group_name_Hall '-P 4 2 3'
_cell_length_a 3.343
_cell_length_b 3.343
_cell_length_c 3.343
_cell_angle_alpha 90.00
_cell_angle_beta 90.00
_cell_angle_gamma 90.00
loop_
_atom_site_label
_atom_site_fract_x
_atom_site_fract_y
_atom_site_fract_z
Mg1 0.000 0.000 0.000
Ga1 0.500 0.500 0.500
```

Summary:
energy of formation from the pure elements: -139 meV per atom

***

SbTe2W: relaxed, GGA-PBEsol.

Structure (CIF):
```
data_SbTe2W
_space_group_name_H-M_alt 'R -3 m'
_space_group_IT_number 166
_space_group_name_Hall '-R 3 2"'
_cell_length_a 3.0548
_cell_length_b 3.0548
_cell_length_c 36.7218
_cell_angle_alpha 90.00
_cell_angle_beta 90.00
_cell_angle_gamma 120.00
loop_
_atom_site_label
_atom_site_fract_x
_atom_site_fract_y
_atom_site_fract_z
Sb1 0.0000 0.0000 0.0000
Te1 0.0000 0.0000 0.4256
W1 0.0000 0.0000 0.5000
```

Summary:
formation energy from raw total energies: 805 meV per atom

***

CaSbAu2: relaxed, GGA-PBEsol.

Structure (CIF):
```
data_CaSbAu2
_space_group_name_H-M_alt 'I -4 m 2'
_space_group_IT_number 119
_space_group_name_Hall 'I -4 -2'
_cell_length_a 4.217
_cell_length_b 4.217
_cell_length_c 9.624
_cell_angle_alpha 90.00
_cell_angle_beta 90.00
_cell_angle_gamma 90.00
loop_
_atom_site_label
_atom_site_fract_x
_atom_site_fract_y
_atom_site_fract_z
Ca1 0.000 0.000 0.000
Sb1 0.000 0.500 0.250
Au1 0.000 0.000 0.500
Au2 0.000 0.500 0.750
```

Summary:
formation energy from raw total energies: -424 meV per atom

***

SrRe2Tc: relaxed, GGA-PBEsol.

Structure (CIF):
```
data_SrRe2Tc
_space_group_name_H-M_alt 'P 4/m m m'
_space_group_IT_number 123
_space_group_name_Hall '-P 4 2'
_cell_length_a 3.775
_cell_length_b 3.775
_cell_length_c 4.873
_cell_angle_alpha 90.00
_cell_angle_beta 90.00
_cell_angle_gamma 90.00
loop_
_atom_site_label
_atom_site_fract_x
_atom_site_fract_y
_atom_site_fract_z
Sr1 0.000 0.000 0.000
Re1 0.000 0.500 0.500
Tc1 0.500 0.500 0.000
```

Summary:
energy of formation from the pure elements: 1415 meV per atom
ΔE to the lowest computed polymorph: 600.7 meV/atom

***

Be2GaCo2: relaxed, GGA-PBEsol.

Structure (CIF):
```
data_Be2GaCo2
_space_group_name_H-M_alt 'P 4/m b m'
_space_group_IT_number 127
_space_group_name_Hall '-P 4 2ab'
_cell_length_a 5.991
_cell_length_b 5.991
_cell_length_c 2.635
_cell_angle_alpha 90.00
_cell_angle_beta 90.00
_cell_angle_gamma 90.00
loop_
_atom_site_label
_atom_site_fract_x
_atom_site_fract_y
_atom_site_fract_z
Be1 0.122 0.378 0.000
Ga1 0.000 0.000 0.000
Co1 0.170 0.670 0.500
```

Summary:
energy of formation from the pure elements: -300 meV per atom

***

TlTe2As: relaxed, GGA-PBEsol.

Structure (CIF):
```
data_TlTe2As
_space_group_name_H-M_alt 'P 4 m m'
_space_group_IT_number 99
_cell_length_a 4.325
_cell_length_b 4.325
_cell_length_c 6.398
_cell_angle_alpha 90.00
_cell_angle_beta 90.00
_cell_angle_gamma 90.00
loop_
_space_group_symop_operation_xyz
'x,y,z'
'-y,x,z'
'-x,-y,z'
'y,-x,z'
'-x,y,z'
'y,x,z'
'x,-y,z'
'-y,-x,z'
loop_
_atom_site_label
_atom_site_fract_x
_atom_site_fract_y
_atom_site_fract_z
Tl1 0.000 0.000 0.000
Te1 0.000 0.000 0.481
Te2 0.500 0.500 0.930
As1 0.500 0.500 0.528
```

Summary:
formation energy from raw total energies: -22 meV per atom

***

KLi2Te: relaxed, GGA-PBEsol.

Structure (CIF):
```
data_KLi2Te
_space_group_name_H-M_alt 'I 4/m m m'
_space_group_IT_number 139
_space_group_name_Hall '-I 4 2'
_cell_length_a 4.859
_cell_length_b 4.859
_cell_length_c 9.149
_cell_angle_alpha 90.00
_cell_angle_beta 90.00
_cell_angle_gamma 90.00
loop_
_atom_site_label
_atom_site_fract_x
_atom_site_fract_y
_atom_site_fract_z
K1 0.000 0.000 0.000
Li1 0.000 0.500 0.250
Te1 0.000 0.000 0.500
```

Summary:
formation energy from raw total energies: -439 meV per atom

***

no.,D(E_F) (states/eV/cell)
1,2.4
2,6.5
3,11.1
4,40.0
5,2.9
6,0.6
7,13.2
8,3.9
9,5.0
10,6.1
11,1.1
12,4.4